No. 1
VASP calculation (PBE-GGA) on crystalline HgWBr2 at its relaxed geometry.

Values from the calculation:
The value obtained for the polymorph energy (0 for the lowest one) is 132.8 meV/atom.

Lattice parameters (Å, degrees): 3.435 3.435 11.218 90.00 90.00 125.43
Last column: magnetic moment on the atom in μB.
Atoms (fractional coordinates):
Br (0.000, 0.000, 0.933)  0.02
Br (0.000, 0.000, 0.567)  0.02
W (0.500, 0.500, 0.750)  0.85
Hg (0.500, 0.500, 0.250)  0.00

***

No. 2
VASP calculation (PBE-GGA) on crystalline HgWBr at its relaxed geometry.

Values from the calculation:
The value obtained for the polymorph energy (0 for the lowest one) is 174.6 meV/atom.

Lattice parameters (Å, degrees): 8.898 8.583 3.159 85.28 74.00 20.72
Last column: magnetic moment on the atom in μB.
Atoms (fractional coordinates):
Hg (0.693, 0.693, 0.307)  0.00
Br (0.965, 0.965, 0.035)  0.01
W (0.342, 0.342, 0.658)  0.24

***

No. 3
VASP calculation (PBE-GGA) on crystalline HgW2Br at its relaxed geometry.

Values from the calculation:
The value obtained for the polymorph energy (0 for the lowest one) is 773.7 meV/atom.

Lattice parameters (Å, degrees): 5.087 5.087 5.230 77.75 77.75 33.68
Atoms (fractional coordinates):
Hg (0.250, 0.250, 0.250)
W (0.001, 0.001, 0.994)
W (0.499, 0.499, 0.506)
Br (0.750, 0.750, 0.750)

***

No. 4
VASP calculation (PBE-GGA) on crystalline Hg3WBr at its relaxed geometry.

Values from the calculation:
The value obtained for the polymorph energy (0 for the lowest one) is 810.2 meV/atom.

Lattice parameters (Å, degrees): 5.828 5.828 5.828 90.00 90.00 90.00
Last column: magnetic moment on the atom in μB.
Atoms (fractional coordinates):
W (0.500, 0.500, 0.500)  3.58
Hg (0.000, 0.500, 0.000)  0.01
Hg (0.500, 0.000, 0.000)  -0.02
Hg (0.000, 0.000, 0.500)  0.01
Br (0.000, 0.000, 0.000)  -0.10

***

| no. | uncorrected formation energy (eV/atom) | calculated volume (Å³/atom) |
| --- | --- | --- |
| 1 | 0.3387 | 26.97 |
| 2 | 0.7681 | 23.42 |
| 3 | 1.1656 | 18.29 |
| 4 | 1.6512 | 39.59 |